*P*
Compound: Tb12GaNi6
Source: Alexandria
Functional: GGA-PBE
Structure: relaxed

Lattice parameters (Å, degrees): 8.394 8.394 8.394 109.47 109.47 109.47
Atoms (fractional coordinates):
Tb: 0.115 0.814 0.302
Tb: 0.186 0.302 0.488
Tb: 0.186 0.698 0.885
Tb: 0.302 0.115 0.814
Tb: 0.302 0.488 0.186
Tb: 0.488 0.186 0.302
Tb: 0.512 0.814 0.698
Tb: 0.698 0.512 0.814
Tb: 0.698 0.885 0.186
Tb: 0.814 0.302 0.115
Tb: 0.814 0.698 0.512
Tb: 0.885 0.186 0.698
Ga: 0.000 0.000 0.000
Ni: 0.124 0.624 0.500
Ni: 0.376 0.500 0.876
Ni: 0.500 0.124 0.624
Ni: 0.500 0.876 0.376
Ni: 0.624 0.500 0.124
Ni: 0.876 0.376 0.500

Space group = No. 204


*Q*
Compound: Tb12GaNi6
Source: Alexandria
Functional: GGA-PBE
Structure: relaxed

Lattice parameters (Å, degrees): 8.429 8.429 8.429 108.69 108.69 108.69
Atoms (fractional coordinates):
Tb: 0.049 0.349 0.109
Tb: 0.109 0.049 0.349
Tb: 0.177 0.467 0.643
Tb: 0.349 0.109 0.049
Tb: 0.357 0.823 0.533
Tb: 0.467 0.643 0.177
Tb: 0.533 0.357 0.823
Tb: 0.643 0.177 0.467
Tb: 0.651 0.891 0.951
Tb: 0.823 0.533 0.357
Tb: 0.891 0.951 0.651
Tb: 0.951 0.651 0.891
Ga: 0.500 0.500 0.500
Ni: 0.143 0.785 0.715
Ni: 0.215 0.285 0.857
Ni: 0.285 0.857 0.215
Ni: 0.715 0.143 0.785
Ni: 0.785 0.715 0.143
Ni: 0.857 0.215 0.285

Space group = No. 148


Computed stability ranking, most favorable first: *P*, *Q*


*P*
Compound: Tb2Ga3Ni5
Source: Alexandria
Functional: GGA-PBE
Structure: relaxed

Lattice parameters (Å, degrees): 10.766 10.766 7.092 90.00 90.00 157.58
Atoms (fractional coordinates):
Tb: 0.016 0.984 0.500
Tb: 0.346 0.654 0.988
Tb: 0.654 0.346 0.488
Tb: 0.984 0.016 0.000
Ga: 0.120 0.880 0.170
Ga: 0.243 0.757 0.660
Ga: 0.442 0.558 0.298
Ga: 0.558 0.442 0.798
Ga: 0.757 0.243 0.160
Ga: 0.880 0.120 0.670
Ni: 0.119 0.881 0.787
Ni: 0.217 0.783 0.987
Ni: 0.238 0.762 0.327
Ni: 0.348 0.652 0.486
Ni: 0.445 0.555 0.696
Ni: 0.555 0.445 0.196
Ni: 0.652 0.348 0.986
Ni: 0.762 0.238 0.827
Ni: 0.783 0.217 0.487
Ni: 0.881 0.119 0.287

Space group = No. 36


*Q*
Compound: Tb2Ga3Ni5
Source: Alexandria
Functional: GGA-PBE
Structure: relaxed

Lattice parameters (Å, degrees): 8.105 8.105 8.105 104.58 89.14 139.75
Atoms (fractional coordinates):
Tb: 0.130 0.234 0.363
Tb: 0.370 0.734 0.104
Tb: 0.630 0.266 0.896
Tb: 0.870 0.766 0.637
Ga: 0.141 0.897 0.038
Ga: 0.250 0.750 0.500
Ga: 0.359 0.397 0.756
Ga: 0.641 0.603 0.244
Ga: 0.750 0.250 0.500
Ga: 0.859 0.103 0.962
Ni: 0.035 0.750 0.285
Ni: 0.111 0.661 0.771
Ni: 0.250 0.250 0.000
Ni: 0.389 0.161 0.550
Ni: 0.465 0.750 0.715
Ni: 0.535 0.250 0.285
Ni: 0.611 0.839 0.450
Ni: 0.750 0.750 0.000
Ni: 0.889 0.339 0.229
Ni: 0.965 0.250 0.715

Space group = No. 72


Computed stability ranking, most favorable first: *P*, *Q*


*P*
Compound: Tb2GaNi3
Source: Alexandria
Functional: GGA-PBE
Structure: relaxed

Lattice parameters (Å, degrees): 8.230 8.009 5.560 72.14 67.85 40.01
Atoms (fractional coordinates):
Tb: 0.244 0.756 0.756
Tb: 0.250 0.250 0.250
Tb: 0.750 0.750 0.750
Tb: 0.756 0.244 0.244
Ga: 0.333 0.333 0.667
Ga: 0.667 0.667 0.333
Ni: 0.165 0.165 0.835
Ni: 0.166 0.667 0.333
Ni: 0.333 0.834 0.166
Ni: 0.667 0.166 0.834
Ni: 0.834 0.333 0.667
Ni: 0.835 0.835 0.165

Space group = No. 69


*Q*
Compound: Tb2GaNi3
Source: Alexandria
Functional: GGA-PBE
Structure: relaxed

Lattice parameters (Å, degrees): 4.104 4.104 15.030 90.00 90.00 120.00
Atoms (fractional coordinates):
Tb: 0.000 0.000 0.121
Tb: 0.000 0.000 0.379
Tb: 0.000 0.000 0.621
Tb: 0.000 0.000 0.879
Ga: 0.333 0.667 0.250
Ga: 0.667 0.333 0.750
Ni: 0.333 0.667 0.001
Ni: 0.333 0.667 0.499
Ni: 0.333 0.667 0.750
Ni: 0.667 0.333 0.250
Ni: 0.667 0.333 0.501
Ni: 0.667 0.333 0.999

Space group = No. 194


Computed stability ranking, most favorable first: *Q*, *P*


*P*
Compound: TbTmGaNi
Source: Alexandria
Functional: GGA-PBE
Structure: relaxed

Lattice parameters (Å, degrees): 6.943 6.943 6.943 90.00 90.00 90.00
Atoms (fractional coordinates):
Tb: 0.000 0.000 0.000
Tb: 0.000 0.500 0.500
Tb: 0.500 0.000 0.500
Tb: 0.500 0.500 0.000
Tm: 0.000 0.000 0.500
Tm: 0.000 0.500 0.000
Tm: 0.500 0.000 0.000
Tm: 0.500 0.500 0.500
Ga: 0.250 0.250 0.750
Ga: 0.250 0.750 0.250
Ga: 0.750 0.250 0.250
Ga: 0.750 0.750 0.750
Ni: 0.250 0.250 0.250
Ni: 0.250 0.750 0.750
Ni: 0.750 0.250 0.750
Ni: 0.750 0.750 0.250

Space group = No. 216


*Q*
Compound: TbTmGaNi
Source: Alexandria
Functional: GGA-PBE
Structure: relaxed

Lattice parameters (Å, degrees): 4.342 3.711 10.741 90.00 90.00 90.00
Atoms (fractional coordinates):
Tb: 0.000 0.000 0.000
Tb: 0.000 0.500 0.500
Tm: 0.500 0.000 0.715
Tm: 0.500 0.500 0.215
Ga: 0.500 0.000 0.427
Ga: 0.500 0.500 0.927
Ni: 0.000 0.000 0.289
Ni: 0.000 0.500 0.789

Space group = No. 38


Computed stability ranking, most favorable first: *Q*, *P*


*P*
Compound: GaTcNi
Source: Alexandria
Functional: GGA-PBE
Structure: relaxed

Lattice parameters (Å, degrees): 2.744 4.318 6.921 90.00 101.57 90.00
Atoms (fractional coordinates):
Ga: 0.060 0.250 0.123
Ga: 0.940 0.750 0.877
Tc: 0.275 0.750 0.546
Tc: 0.725 0.250 0.454
Ni: 0.399 0.250 0.795
Ni: 0.601 0.750 0.205

Space group = No. 11


*Q*
Compound: GaTcNi
Source: Alexandria
Functional: GGA-PBE
Structure: relaxed

Lattice parameters (Å, degrees): 2.751 2.751 18.514 90.00 90.00 120.00
Atoms (fractional coordinates):
Ga: 0.000 0.000 0.000
Ga: 0.333 0.667 0.667
Ga: 0.667 0.333 0.333
Tc: 0.000 0.000 0.215
Tc: 0.333 0.667 0.881
Tc: 0.667 0.333 0.548
Ni: 0.000 0.000 0.438
Ni: 0.333 0.667 0.105
Ni: 0.667 0.333 0.772

Space group = No. 160


*R*
Compound: GaTcNi
Source: Alexandria
Functional: GGA-PBE
Structure: relaxed

Lattice parameters (Å, degrees): 2.850 2.850 9.749 90.00 90.00 90.00
Atoms (fractional coordinates):
Ga: 0.000 0.000 0.000
Ga: 0.000 0.000 0.313
Tc: 0.000 0.000 0.642
Tc: 0.500 0.500 0.817
Ni: 0.500 0.500 0.154
Ni: 0.500 0.500 0.461

Space group = No. 99


*S*
Compound: GaTcNi
Source: Alexandria
Functional: GGA-PBE
Structure: relaxed

Lattice parameters (Å, degrees): 2.801 13.369 4.289 90.00 90.00 90.00
Atoms (fractional coordinates):
Ga: 0.000 0.127 0.250
Ga: 0.000 0.873 0.750
Ga: 0.500 0.373 0.750
Ga: 0.500 0.627 0.250
Tc: 0.000 0.450 0.250
Tc: 0.000 0.550 0.750
Tc: 0.500 0.050 0.750
Tc: 0.500 0.950 0.250
Ni: 0.000 0.217 0.750
Ni: 0.000 0.783 0.250
Ni: 0.500 0.283 0.250
Ni: 0.500 0.717 0.750

Space group = No. 63


Computed stability ranking, most favorable first: *R*, *S*, *P*, *Q*


*P*
Compound: GaTcNi
Source: Alexandria
Functional: GGA-PBE
Structure: relaxed

Lattice parameters (Å, degrees): 2.699 2.699 22.863 90.00 90.00 90.00
Atoms (fractional coordinates):
Ga: 0.000 0.000 0.055
Ga: 0.000 0.000 0.945
Ga: 0.500 0.500 0.445
Ga: 0.500 0.500 0.555
Tc: 0.000 0.000 0.207
Tc: 0.000 0.000 0.793
Tc: 0.500 0.500 0.293
Tc: 0.500 0.500 0.707
Ni: 0.000 0.000 0.373
Ni: 0.000 0.000 0.627
Ni: 0.500 0.500 0.127
Ni: 0.500 0.500 0.873

Space group = No. 139


*Q*
Compound: GaTcNi
Source: Alexandria
Functional: GGA-PBE
Structure: relaxed

Lattice parameters (Å, degrees): 8.990 2.868 6.479 90.00 94.62 90.00
Atoms (fractional coordinates):
Ga: 0.072 0.000 0.303
Ga: 0.428 0.500 0.697
Ga: 0.572 0.500 0.303
Ga: 0.928 0.000 0.697
Tc: 0.133 0.500 0.951
Tc: 0.367 0.000 0.049
Tc: 0.633 0.000 0.951
Tc: 0.867 0.500 0.049
Ni: 0.201 0.000 0.651
Ni: 0.299 0.500 0.349
Ni: 0.701 0.500 0.651
Ni: 0.799 0.000 0.349

Space group = No. 12


*R*
Compound: GaTcNi
Source: Alexandria
Functional: GGA-PBE
Structure: relaxed

Lattice parameters (Å, degrees): 8.819 3.031 6.508 90.00 112.34 90.00
Atoms (fractional coordinates):
Ga: 0.169 0.000 0.106
Ga: 0.331 0.500 0.894
Ga: 0.669 0.500 0.106
Ga: 0.831 0.000 0.894
Tc: 0.155 0.000 0.556
Tc: 0.345 0.500 0.444
Tc: 0.655 0.500 0.556
Tc: 0.845 0.000 0.444
Ni: 0.013 0.500 0.786
Ni: 0.487 0.000 0.214
Ni: 0.513 0.000 0.786
Ni: 0.987 0.500 0.214

Space group = No. 12


*S*
Compound: GaTcNi
Source: Alexandria
Functional: GGA-PBE
Structure: relaxed

Lattice parameters (Å, degrees): 4.167 4.167 2.672 90.00 90.00 120.00
Atoms (fractional coordinates):
Ga: 0.000 0.000 0.000
Tc: 0.333 0.667 0.500
Ni: 0.667 0.333 0.000

Space group = No. 187


Computed stability ranking, most favorable first: *Q*, *R*, *P*, *S*


*P*
Compound: Ga2TcNi
Source: Alexandria
Functional: GGA-PBE
Structure: relaxed

Lattice parameters (Å, degrees): 6.634 6.634 5.402 90.00 90.00 90.00
Atoms (fractional coordinates):
Ga: 0.224 0.250 0.125
Ga: 0.250 0.724 0.375
Ga: 0.250 0.776 0.875
Ga: 0.276 0.250 0.625
Ga: 0.724 0.750 0.625
Ga: 0.750 0.224 0.875
Ga: 0.750 0.276 0.375
Ga: 0.776 0.750 0.125
Tc: 0.000 0.000 0.500
Tc: 0.000 0.500 0.750
Tc: 0.500 0.000 0.250
Tc: 0.500 0.500 0.000
Ni: 0.000 0.000 0.000
Ni: 0.000 0.500 0.250
Ni: 0.500 0.000 0.750
Ni: 0.500 0.500 0.500

Space group = No. 122


*Q*
Compound: Ga2TcNi
Source: Alexandria
Functional: GGA-PBE
Structure: relaxed

Lattice parameters (Å, degrees): 4.096 4.096 3.214 90.00 90.00 90.00
Atoms (fractional coordinates):
Ga: 0.000 0.500 0.000
Ga: 0.500 0.000 0.000
Tc: 0.000 0.000 0.500
Ni: 0.500 0.500 0.500

Space group = No. 123


*R*
Compound: Ga2TcNi
Source: Alexandria
Functional: GGA-PBE
Structure: relaxed

Lattice parameters (Å, degrees): 5.997 5.997 5.997 90.00 90.00 90.00
Atoms (fractional coordinates):
Ga: 0.250 0.250 0.250
Ga: 0.250 0.250 0.750
Ga: 0.250 0.750 0.250
Ga: 0.250 0.750 0.750
Ga: 0.750 0.250 0.250
Ga: 0.750 0.250 0.750
Ga: 0.750 0.750 0.250
Ga: 0.750 0.750 0.750
Tc: 0.000 0.000 0.000
Tc: 0.000 0.500 0.500
Tc: 0.500 0.000 0.500
Tc: 0.500 0.500 0.000
Ni: 0.000 0.000 0.500
Ni: 0.000 0.500 0.000
Ni: 0.500 0.000 0.000
Ni: 0.500 0.500 0.500

Space group = No. 225


Computed stability ranking, most favorable first: *Q*, *R*, *P*


*P*
Compound: Ga3TcNi
Source: Alexandria
Functional: GGA-PBE
Structure: relaxed

Lattice parameters (Å, degrees): 4.745 4.745 4.745 90.00 90.00 90.00
Atoms (fractional coordinates):
Ga: 0.000 0.000 0.500
Ga: 0.000 0.500 0.000
Ga: 0.500 0.000 0.000
Tc: 0.000 0.000 0.000
Ni: 0.500 0.500 0.500

Space group = No. 221


*Q*
Compound: Ga3TcNi
Source: Alexandria
Functional: GGA-PBE
Structure: relaxed

Lattice parameters (Å, degrees): 4.457 4.457 4.457 90.00 90.00 90.00
Atoms (fractional coordinates):
Ga: 0.000 0.000 0.500
Ga: 0.000 0.500 0.000
Ga: 0.500 0.000 0.000
Tc: 0.500 0.500 0.500
Ni: 0.000 0.000 0.000

Space group = No. 221


Computed stability ranking, most favorable first: *Q*, *P*